Here is crystalline Cs2AgF at its relaxed geometry from Alexandria. Energies are from PBE-GGA.

The structure in extended XYZ format:
```
4
Lattice="4.600 0.000 0.000 2.300 3.984 0.000 2.300 1.328 8.556" Properties=species:S:1:pos:R:3 pbc="T T T"
Cs 2.300 1.328 1.674
Cs 2.301 1.328 6.885
F 6.900 3.984 8.549
Ag 4.600 2.656 4.283
```

## Properties
The value obtained for the relative energy among the computed polymorphs is 0.0301 eV/atom. As for the space group: R3m, No. 160. The calculation puts the calculated total energy at -11.29 eV for the cell shown. As for the uncorrected formation energy: -1216 meV per atom.


Here is crystalline Tb2Be2SiRh5 at its relaxed geometry from Alexandria. Energies are from PBE-GGA.

The structure in extended XYZ format:
```
20
Lattice="3.157 0.000 0.000 0.000 9.639 0.000 0.000 0.000 9.639" Properties=species:S:1:pos:R:3 pbc="T T T"
Tb 0.000 3.121 7.941
Tb 0.000 6.517 1.698
Tb 0.000 7.941 6.517
Tb 0.000 1.698 3.121
Rh 1.579 4.819 0.000
Rh 1.579 1.981 0.623
Rh 1.579 6.800 4.197
Rh 1.579 9.016 1.981
Rh 1.579 4.197 2.839
Rh 1.579 0.000 4.819
Rh 1.579 7.658 9.016
Rh 1.579 5.442 6.800
Rh 1.579 2.839 5.442
Rh 1.579 0.623 7.658
Si 0.000 0.000 0.000
Si 0.000 4.819 4.819
Be 0.000 1.175 5.994
Be 0.000 3.645 1.175
Be 0.000 8.464 3.645
Be 0.000 5.994 8.464
```

## Properties
As for the space group: P4/mbm, No. 127. The calculation puts the calculated total energy at -134.47 eV for the cell shown. The density of states at the Fermi level comes out at 6.5 states/eV/cell. As for the uncorrected formation energy: -834 meV per atom.


Here is crystalline Ho3GeO7 at its relaxed geometry from Alexandria. Energies are from PBE-GGA.

The structure in extended XYZ format:
```
22
Lattice="6.375 0.046 0.000 -2.165 5.996 0.000 0.000 0.000 7.315" Properties=species:S:1:pos:R:3 pbc="T T T"
O 5.805 0.443 1.829
O 4.416 4.119 0.197
O 1.875 0.473 3.461
O 2.375 5.648 3.915
O 3.260 2.216 1.829
O -0.266 1.858 7.058
O -1.595 5.599 5.487
O 3.215 2.248 5.487
O -0.206 1.923 3.854
O 4.476 4.184 3.400
O 1.835 0.394 0.257
O 0.995 3.794 1.829
O 0.950 3.826 5.487
O 2.335 5.570 7.119
Ge 0.012 0.017 3.658
Ge 4.198 6.025 0.000
Ho 1.988 2.853 3.658
Ho 2.940 0.044 5.524
Ho -0.977 2.773 1.792
Ho 5.187 3.269 5.449
Ho 1.270 5.998 1.866
Ho 2.222 3.189 0.000
```

## Properties
As for the space group: C222_1, No. 20. The calculation puts the calculated total energy at -169.30 eV for the cell shown. The density of states at the Fermi level comes out at 12.5 states/eV/cell. As for the uncorrected formation energy: -2872 meV per atom.


Here is crystalline P2RuSeN at its relaxed geometry from Alexandria. Energies are from PBE-GGA.

The structure in extended XYZ format:
```
10
Lattice="5.082 0.000 0.012 0.000 2.913 0.000 -3.271 0.000 12.333" Properties=species:S:1:pos:R:3 pbc="T T T"
P -0.515 1.456 4.293
P 0.394 0.000 11.888
P 2.029 1.456 5.721
P -2.150 0.000 10.460
Ru -1.336 0.000 6.141
Ru -2.971 1.456 12.308
N 1.111 1.456 4.402
N -0.524 0.000 10.569
Se 2.068 0.000 1.346
Se 0.433 1.456 7.513
```

## Properties
The value obtained for the relative energy among the computed polymorphs is 0.0863 eV/atom. As for the space group: Cm, No. 8. The calculation puts the calculated total energy at -63.60 eV for the cell shown. The density of states at the Fermi level comes out at 3.3 states/eV/cell. As for the uncorrected formation energy: 21 meV per atom.


Here is crystalline AcAgAu at its relaxed geometry from Alexandria. Energies are from PBE-GGA.

The structure in extended XYZ format:
```
3
Lattice="-2.081 -4.553 0.635 1.825 -3.143 3.501 -2.691 -0.987 4.153" Properties=species:S:1:pos:R:3 pbc="T T T"
Ag 0.000 0.000 0.000
Au -0.737 -2.171 2.072
Ac -1.474 -4.341 4.144
```

## Properties
The value obtained for the relative energy among the computed polymorphs is 0.1185 eV/atom. As for the space group: F-43m, No. 216. The calculation puts the calculated total energy at -11.64 eV for the cell shown. The density of states at the Fermi level comes out at 2.4 states/eV/cell. Its formation energy is -469 meV/atom.


Here is crystalline CsNaCdIn at its relaxed geometry from Alexandria. Energies are from PBE-GGA.

The structure in extended XYZ format:
```
4
Lattice="5.875 0.000 0.000 2.938 5.088 0.000 2.938 1.696 4.797" Properties=species:S:1:pos:R:3 pbc="T T T"
Na 2.938 1.696 1.199
In 0.000 0.000 0.000
Cd 8.813 5.088 3.598
Cs 5.875 3.392 2.399
```

## Properties
As for the space group: F-43m, No. 216. The calculation puts the calculated total energy at -5.50 eV for the cell shown. The density of states at the Fermi level comes out at 4.7 states/eV/cell. Its formation energy is 82 meV/atom.


Here is crystalline PuMg2Sb2 at its relaxed geometry from Alexandria. Energies are from PBE-GGA.

The structure in extended XYZ format:
```
10
Lattice="4.291 0.000 -0.763 0.000 4.407 0.000 0.139 0.000 13.233" Properties=species:S:1:pos:R:3 pbc="T T T"
Pu 1.565 1.102 8.802
Pu 2.865 3.305 3.668
Sb 3.287 1.102 6.042
Sb 0.569 1.102 3.200
Sb 1.143 3.305 6.428
Sb 3.861 3.305 9.271
Mg 0.210 3.305 1.183
Mg 4.220 1.102 11.288
Mg 2.086 3.305 11.733
Mg 2.344 1.102 0.737
```

## Properties
As for the space group: Cmcm, No. 63. The calculation puts the calculated total energy at -55.39 eV for the cell shown. The density of states at the Fermi level comes out at 24.4 states/eV/cell. As for the uncorrected formation energy: -386 meV per atom.


Here is crystalline YTlCr2 at its relaxed geometry from Alexandria. Energies are from PBE-GGA.

The structure in extended XYZ format:
```
4
Lattice="9.569 -0.058 -0.034 9.004 3.239 -0.034 9.004 1.542 2.848" Properties=species:S:1:pos:R:3 pbc="T T T"
Cr 27.492 4.708 2.772
Cr 13.874 2.376 1.399
Y 20.683 3.542 2.085
Tl 6.894 1.181 0.695
```

## Properties
The value obtained for the relative energy among the computed polymorphs is 0.4952 eV/atom. As for the space group: R-3m, No. 166. The calculation puts the calculated total energy at -25.17 eV for the cell shown. The density of states at the Fermi level comes out at 4.3 states/eV/cell. Its formation energy is 728 meV/atom.


Here is crystalline KTe3I at its relaxed geometry from Alexandria. Energies are from PBE-GGA.

The structure in extended XYZ format:
```
5
Lattice="-4.805 -3.025 -1.896 3.201 -5.058 -0.045 -1.580 -1.050 5.678" Properties=species:S:1:pos:R:3 pbc="T T T"
Te -0.790 -0.525 2.839
Te -2.403 -1.512 -0.948
Te 1.601 -2.529 -0.022
I 0.000 0.000 0.000
K -1.592 -4.566 1.868
```

## Properties
The value obtained for the relative energy among the computed polymorphs is 0.0000 eV/atom. As for the space group: Pm-3m, No. 221. The calculation puts the calculated total energy at -11.37 eV for the cell shown. The density of states at the Fermi level comes out at 5.4 states/eV/cell. As for the uncorrected formation energy: 142 meV per atom.


Here is crystalline Pr3SmY12 at its relaxed geometry from Alexandria. Energies are from PBE-GGA.

The structure in extended XYZ format:
```
16
Lattice="5.093 0.000 0.000 0.000 5.093 0.000 0.000 0.000 20.378" Properties=species:S:1:pos:R:3 pbc="T T T"
Y 2.546 0.000 7.633
Y 2.546 0.000 17.854
Y 0.000 2.546 17.854
Y 2.546 0.000 2.524
Y 2.546 2.546 10.189
Y 0.000 2.546 7.633
Y 0.000 2.546 2.524
Y 2.546 2.546 5.077
Y 0.000 2.546 12.745
Y 2.546 2.546 0.000
Y 2.546 2.546 15.301
Y 2.546 0.000 12.745
Sm 0.000 0.000 0.000
Pr 0.000 0.000 15.294
Pr 0.000 0.000 5.083
Pr 0.000 0.000 10.189
```

## Properties
As for the space group: P4/mmm, No. 123. The calculation puts the calculated total energy at -96.28 eV for the cell shown. The density of states at the Fermi level comes out at 24.7 states/eV/cell. Its formation energy is 22 meV/atom.


Here is crystalline Ca2ZrTc at its relaxed geometry from Alexandria. Energies are from PBE-GGA.

The structure in extended XYZ format:
```
4
Lattice="3.477 0.000 0.000 0.000 3.477 0.000 0.000 0.000 8.974" Properties=species:S:1:pos:R:3 pbc="T T T"
Tc 0.000 0.000 4.873
Zr 1.739 1.739 6.073
Ca 1.739 1.739 2.865
Ca 0.000 0.000 8.623
```

## Properties
The value obtained for the relative energy among the computed polymorphs is 0.0000 eV/atom. As for the space group: P4mm, No. 99. The calculation puts the calculated total energy at -22.57 eV for the cell shown. The density of states at the Fermi level comes out at 5.9 states/eV/cell. Its formation energy is 87 meV/atom.